No. 1
First-principles (PBE-GGA) data for a geometry-optimized Tm4NbC4 structure, as listed in Alexandria via LeMat-Bulk.

As for the energy of formation: -0.36 eV/atom. The total energy comes out at -7.564 eV/atom.

The space group is C2/m (No. 12) and the conventional cell measures 11.454, 3.412 and 8.515 Å, with angles of 90.00, 119.95 and 90.00 degrees. The distinct sites, in fractional coordinates, are Tm at (0.108, 0.000, 0.387), Tm at (0.204, 0.500, 0.814), Nb at (0.000, 0.500, 0.000), C at (0.090, 0.000, 0.905) and C at (0.194, 0.500, 0.288).

No. 2
First-principles (PBE-GGA) data for a geometry-optimized Mg2ScSb structure, as listed in Alexandria via LeMat-Bulk.

As for the formation energy (no corrections): -122 meV/atom. The total energy comes out at -3.532 eV/atom.

The space group is R3m (No. 160, hexagonal axes) and the conventional cell measures 3.3393, 3.3393 and 30.0393 Å, with angles of 90.00, 90.00 and 120.00 degrees. The distinct sites, in fractional coordinates, are Mg at (0.0000, 0.0000, 0.0000), Mg at (0.0000, 0.0000, 0.2495), Sc at (0.0000, 0.0000, 0.4993) and Sb at (0.0000, 0.0000, 0.7523).

No. 3
First-principles (PBE-GGA) data for a geometry-optimized GaAuN2O structure, as listed in Alexandria via LeMat-Bulk.

As for the formation energy (no corrections): 1546 meV/atom. The total energy comes out at -4.037 eV/atom.

The space group is P4/mmm (No. 123) and the conventional cell measures 4.056, 4.056 and 4.441 Å, with angles of 90.00, 90.00 and 90.00 degrees. The distinct sites, in fractional coordinates, are Ga at (0.000, 0.000, 0.000), Au at (0.500, 0.500, 0.500), N at (0.000, 0.500, 0.500) and O at (0.500, 0.500, 0.000).

No. 4
First-principles (PBE-GGA) data for a geometry-optimized BaCr2Mo structure, as listed in Alexandria via LeMat-Bulk.

As for the energy of formation: 0.88 eV/atom. The value obtained for the relative energy among the computed polymorphs is 113.3 meV/atom. The total energy comes out at -7.117 eV/atom.

The space group is C2/m (No. 12) and the conventional cell measures 8.965, 3.190 and 6.488 Å, with angles of 90.00, 104.33 and 90.00 degrees. The distinct sites, in fractional coordinates, are Ba at (0.000, 0.000, 0.000), Cr at (0.218, 0.000, 0.603) and Mo at (0.000, 0.500, 0.500).